[1]
LiCdAgAu: relaxed, PBE.

Calculated values
total moment = 0.00 Bohr magnetons per cell
symmetry = No. 119
energy of formation from the pure elements = -0.2968 eV per atom

Cell: 4.316 4.316 4.898 Å, 116.14 116.14 90.00°
Sites, in units of the cell vectors:
1 Li 0.250 0.750 0.500
2 Ag 0.500 0.500 0.000
3 Au 0.000 0.000 0.000
4 Cd 0.750 0.250 0.500

[2]
La2FePt2: relaxed, PBE.

Calculated values
total moment = 0.04 Bohr magnetons per cell
symmetry = No. 127
E above lowest polymorph = 103 meV per atom
energy of formation from the pure elements = -0.4548 eV per atom

Cell: 7.244 7.244 4.291 Å, 90.00 90.00 90.00°
Each line ends with the local moment (μB).
Sites, in units of the cell vectors:
1 Fe 0.000 0.000 0.000  -0.18
2 Fe 0.500 0.500 0.000  -0.18
3 Pt 0.360 0.860 0.000  0.03
4 Pt 0.860 0.640 0.000  0.03
5 Pt 0.140 0.360 0.000  0.03
6 Pt 0.640 0.140 0.000  0.03
7 La 0.826 0.326 0.500  0.02
8 La 0.674 0.826 0.500  0.02
9 La 0.174 0.674 0.500  0.02
10 La 0.326 0.174 0.500  0.02

[3]
Nb2AuBrCl: relaxed, PBE.

Calculated values
total moment = 4.59 Bohr magnetons per cell
symmetry = No. 123
ΔE_f (raw) = 127.4 kJ/mol of atoms

Cell: 5.235 5.264 5.235 Å, 90.00 90.00 90.00°
Each line ends with the local moment (μB).
Sites, in units of the cell vectors:
1 Cl 0.500 0.500 0.500  0.00
2 Nb 0.000 0.000 0.500  1.63
3 Nb 0.500 0.000 0.000  2.06
4 Au 0.000 0.000 0.000  0.03
5 Br 0.000 0.500 0.000  -0.01

[4]
LaMgIr: relaxed, PBE.

Calculated values
total moment = 0.00 Bohr magnetons per cell
symmetry = No. 107
energy of formation from the pure elements = -0.3922 eV per atom

Cell: 6.596 6.596 3.379 Å, 75.16 75.15 29.69°
Sites, in units of the cell vectors:
1 Mg 0.628 0.628 0.372
2 Ir 0.009 0.009 0.991
3 La 0.364 0.364 0.636

[5]
GeBSe2: relaxed, PBE.

Calculated values
total moment = 0.00 Bohr magnetons per cell
symmetry = No. 122
E above lowest polymorph = 0 meV per atom
ΔE_f (raw) = 29.0 kJ/mol of atoms

Cell: 6.179 6.179 6.054 Å, 59.31 59.31 90.00°
Sites, in units of the cell vectors:
1 B 0.250 0.750 0.500
2 B 0.500 0.500 0.000
3 Se 0.532 0.125 0.250
4 Se 0.218 0.625 0.250
5 Se 0.875 0.782 0.750
6 Se 0.375 0.468 0.750
7 Ge 0.750 0.250 0.500
8 Ge 0.000 0.000 0.000

[6]
Ca6Pr: relaxed, PBE.

Calculated values
total moment = 0.00 Bohr magnetons per cell
symmetry = No. 229
energy of formation from the pure elements = 1.1105 eV per atom

Cell: 7.689 7.689 7.689 Å, 109.47 109.47 109.47°
Sites, in units of the cell vectors:
1 Ca 0.500 0.250 0.750
2 Ca 0.250 0.750 0.500
3 Ca 0.750 0.500 0.250
4 Ca 0.750 0.250 0.500
5 Ca 0.500 0.750 0.250
6 Ca 0.250 0.500 0.750
7 Pr 0.000 0.000 0.000

[7]
ZnRe2W: relaxed, PBE.

Calculated values
total moment = 0.00 Bohr magnetons per cell
symmetry = No. 99
energy of formation from the pure elements = 0.2043 eV per atom

Cell: 2.798 2.798 7.750 Å, 90.00 90.00 90.00°
Sites, in units of the cell vectors:
1 Zn 0.500 0.500 0.756
2 Re 0.500 0.500 0.238
3 Re 0.000 0.000 0.006
4 W 0.000 0.000 0.500

[8]
CeSiPt3: relaxed, PBE.

Calculated values
total moment = 0.23 Bohr magnetons per cell
symmetry = No. 99
E above lowest polymorph = 0 meV per atom
ΔE_f (raw) = -103.5 kJ/mol of atoms

Cell: 4.070 4.070 5.546 Å, 90.00 90.00 90.00°
Each line ends with the local moment (μB).
Sites, in units of the cell vectors:
1 Pt 0.000 0.000 0.590  -0.01
2 Pt 0.000 0.500 0.238  0.00
3 Pt 0.500 0.000 0.238  0.00
4 Si 0.000 0.000 0.007  0.00
5 Ce 0.500 0.500 0.729  0.23

[9]
SiAg2Pt: relaxed, PBE.

Calculated values
total moment = 0.00 Bohr magnetons per cell
symmetry = No. 139
ΔE_f (raw) = 0.0 kJ/mol of atoms

Cell: 5.242 5.242 5.242 Å, 137.54 137.54 61.61°
Sites, in units of the cell vectors:
1 Pt 0.250 0.750 0.500
2 Si 0.750 0.250 0.500
3 Ag 0.000 0.000 0.000
4 Ag 0.500 0.500 0.000

[10]
YInTc2: relaxed, PBE.

Calculated values
total moment = 0.00 Bohr magnetons per cell
symmetry = No. 71
energy of formation from the pure elements = 0.3710 eV per atom

Cell: 5.420 5.420 5.420 Å, 142.06 127.69 66.42°
Sites, in units of the cell vectors:
1 Tc 0.001 0.001 0.000
2 Tc 0.499 0.499 0.000
3 Y 0.750 0.250 0.500
4 In 0.250 0.750 0.500

[11]
RbAlNiCl6: relaxed, PBE.

Calculated values
total moment = 2.10 Bohr magnetons per cell
symmetry = No. 149
ΔE_f (raw) = -126.8 kJ/mol of atoms

Cell: 6.208 6.208 7.461 Å, 90.00 90.00 60.00°
Each line ends with the local moment (μB).
Sites, in units of the cell vectors:
1 Rb 0.000 0.000 0.000  0.00
2 Cl 0.008 0.366 0.320  0.08
3 Cl 0.008 0.625 0.680  0.08
4 Cl 0.366 0.008 0.680  0.08
5 Cl 0.625 0.008 0.320  0.08
6 Cl 0.366 0.625 0.320  0.08
7 Cl 0.625 0.366 0.680  0.08
8 Ni 0.667 0.667 0.500  1.51
9 Al 0.333 0.333 0.500  0.00

[12]
ZnCdCu2: relaxed, PBE.

Calculated values
total moment = 0.00 Bohr magnetons per cell
symmetry = No. 99
energy of formation from the pure elements = 0.0091 eV per atom

Cell: 3.090 3.086 6.274 Å, 90.00 90.00 90.00°
Sites, in units of the cell vectors:
1 Cu 0.000 0.000 0.038
2 Cu 0.500 0.500 0.243
3 Cd 0.500 0.500 0.764
4 Zn 0.000 0.000 0.455